A plane-wave DFT calculation with GGA-PBE was carried out for TaBiSb after structural relaxation.

The structure in POSCAR format:
```
TaBiSb
1.0
6.024 0.000 0.000
-3.012 6.639 0.000
0.000 0.000 7.544
Ta Bi Sb
4 4 4
Direct
0.612 0.223 0.577
0.888 0.777 0.077
0.388 0.777 0.423
0.112 0.223 0.923
0.309 0.118 0.250
0.191 0.882 0.750
0.691 0.882 0.750
0.809 0.118 0.250
0.806 0.612 0.416
0.694 0.388 0.916
0.194 0.388 0.584
0.306 0.612 0.084
```

Summary:
The calculation puts the energy relative to the elements, uncorrected at 0.3025 eV/atom. The total magnetization comes out at 0.00 μB per formula unit.



A plane-wave DFT calculation with GGA-PBE was carried out for TcPtO3 after structural relaxation.

The structure in POSCAR format:
```
TcPtO3
1.0
3.866 0.000 0.000
0.000 3.866 0.000
0.000 0.000 3.866
O Tc Pt
3 1 1
Direct
0.000 0.500 0.000
0.000 0.000 0.500
0.500 0.000 0.000
0.000 0.000 0.000
0.500 0.500 0.500
```

Summary:
The calculation puts the energy relative to the elements, uncorrected at -0.2310 eV/atom. The total magnetization comes out at 0.00 μB per formula unit.



A plane-wave DFT calculation with GGA-PBE was carried out for GeWC2 after structural relaxation.

The structure in POSCAR format:
```
GeWC2
1.0
4.800 0.000 0.000
0.000 4.800 0.000
2.400 2.400 4.544
Ge C W
2 4 2
Direct
0.500 0.500 0.000
0.250 0.750 0.500
0.625 0.125 0.250
0.125 0.625 0.250
0.375 0.375 0.750
0.875 0.875 0.750
0.000 0.000 0.000
0.750 0.250 0.500
```

Summary:
The calculation puts the energy relative to the elements at 0.81 eV per atom. The total magnetization comes out at 0.00 μB per formula unit.



A plane-wave DFT calculation with GGA-PBE was carried out for Np2AsPt after structural relaxation.

The structure in POSCAR format:
```
Np2AsPt
1.0
-3.181 0.163 -1.529
-0.973 -2.933 1.712
-2.307 3.804 5.207
Np As Pt
2 1 1
Direct
0.000 0.000 0.753
0.000 0.000 0.247
0.500 0.500 0.000
0.500 0.500 0.500
```

Summary:
The calculation puts the energy relative to the elements at -0.47 eV per atom. The energy above the most stable polymorph in this dataset comes out at 0 meV per atom. The total magnetization comes out at 8.41 μB per formula unit.



A plane-wave DFT calculation with GGA-PBE was carried out for UPa2Co4As3 after structural relaxation.

The structure in POSCAR format:
```
UPa2Co4As3
1.0
4.066 0.000 0.000
0.000 4.066 0.000
0.000 0.000 10.063
U Pa Co As
1 2 4 3
Direct
0.500 0.500 0.500
0.500 0.000 0.234
0.000 0.500 0.766
0.500 0.500 0.000
0.000 0.000 0.000
0.500 0.000 0.650
0.000 0.500 0.350
0.000 0.000 0.500
0.500 0.000 0.876
0.000 0.500 0.124
```

Summary:
The calculation puts the energy relative to the elements at -0.56 eV per atom. The total magnetization comes out at 3.71 μB per formula unit.



A plane-wave DFT calculation with GGA-PBE was carried out for Tl4Si5O12 after structural relaxation.

The structure in POSCAR format:
```
Tl4Si5O12
1.0
7.556 -0.002 0.026
-1.712 7.360 0.026
0.707 0.890 13.436
Tl Si O
8 10 24
Direct
0.065 0.127 0.622
0.873 0.935 0.878
0.935 0.873 0.378
0.127 0.065 0.122
0.033 0.626 0.628
0.374 0.967 0.872
0.967 0.374 0.372
0.626 0.033 0.128
0.632 0.242 0.584
0.758 0.368 0.916
0.368 0.758 0.416
0.242 0.632 0.084
0.382 0.171 0.400
0.829 0.618 0.100
0.618 0.829 0.600
0.171 0.382 0.900
0.513 0.487 0.750
0.487 0.513 0.250
0.529 0.348 0.664
0.652 0.471 0.836
0.471 0.652 0.336
0.348 0.529 0.164
0.563 0.697 0.704
0.303 0.437 0.796
0.437 0.303 0.296
0.697 0.563 0.204
0.848 0.327 0.565
0.673 0.152 0.935
0.152 0.673 0.435
0.327 0.848 0.065
0.532 0.253 0.479
0.747 0.468 0.021
0.468 0.747 0.521
0.253 0.532 0.979
0.584 0.028 0.630
0.972 0.416 0.870
0.416 0.972 0.370
0.028 0.584 0.130
0.174 0.156 0.441
0.844 0.826 0.059
0.826 0.844 0.559
0.156 0.174 0.941
```

Summary:
The calculation puts the energy relative to the elements, uncorrected at -2.2396 eV/atom. The total magnetization comes out at 0.00 μB per formula unit.